Material: Th2UCrC4
Method: DFT, PBE
State: optimized geometry

```
Th2UCrC4
1.0
3.5139 0.0000 0.0000
-1.7570 5.8479 0.0000
0.0000 0.0000 12.5979
Th U C Cr
4 2 8 2
Direct
0.6370 0.2740 0.0456
0.3630 0.7260 0.9544
0.6370 0.2740 0.4544
0.3630 0.7260 0.5456
0.0962 0.1924 0.7500
0.9038 0.8076 0.2500
0.2816 0.5633 0.3544
0.7184 0.4367 0.8544
0.2816 0.5633 0.1456
0.5791 0.1582 0.2500
0.0000 0.0000 0.0000
0.4209 0.8418 0.7500
0.7184 0.4367 0.6456
0.0000 0.0000 0.5000
0.8292 0.6584 0.7500
0.1708 0.3416 0.2500
```

Output
ΔH_f (0 K) = 90 meV per atom
magnetization = 5.75 μB per cell
space group = Cmcm
N(E_F) = 8.6 states/eV/f.u.